First-principles (PBE with a Hubbard U) data for a relaxed AlCdWO6 crystal, as listed in the Alexandria database.

Values from the calculation:
space group	No. 102
VASP energy	-116.35	eV/cell
M_tot	0.98	μB per formula unit
calculated density	6.562	g/cm³
DOS(E_F)	9.00	states/eV per cell

The structure in extended XYZ format:
```
18
Lattice="-3.4069 1.7929 -2.8280 1.9461 -2.2229 -3.7537 -5.3036 -7.4533 1.6641" Properties=species:S:1:pos:R:3 pbc="T T T"
O -3.3035 -0.5168 -2.7000
W -3.5452 -4.9821 1.1124
Al -1.7726 -2.4911 0.5562
W -1.6238 -1.4705 -3.0105
O -3.4892 -7.3250 -2.2140
O -2.0162 -2.3786 -1.3399
Al -5.1548 -6.4327 -1.9026
Cd -3.3964 -3.9615 -2.4544
O -1.6281 -5.2473 -2.7628
O -4.1069 -5.3054 -0.7335
O -5.7762 -7.5871 -0.4883
O -2.6584 -2.5677 -4.2334
O -6.4889 -5.0747 -1.6952
Cd -0.0141 -0.0199 0.0044
O -5.1268 -2.6226 -2.1577
O -6.2823 -7.7361 -2.7682
O -4.7286 -5.4884 -3.5343
O -0.2284 -2.8237 -3.2318
```